1.
! UPa2Zn (PBE, relaxed); values from VASP
&SYSTEM
  ibrav = 0, nat = 4, ntyp = 3
/
ATOMIC_SPECIES
Pa 231.04 Pa.upf
U 238.03 U.upf
Zn 65.41 Zn.upf
CELL_PARAMETERS angstrom
-2.977 0.560 -0.183
-1.775 -1.769 -1.711
-3.470 -7.422 8.579
ATOMIC_POSITIONS crystal
Pa 0.086 0.086 0.741
Pa 0.914 0.914 0.259
U 0.500 0.500 0.500
Zn 0.000 0.000 0.000
! formation energy from the elements	0.36	eV per atom
! space group	R-3m (166)
! excess energy over the best structure of this formula in the dataset	377	meV per atom

2.
! K5P3Pt3 (PBE, relaxed); values from VASP
&SYSTEM
  ibrav = 0, nat = 11, ntyp = 3
/
ATOMIC_SPECIES
K 39.10 K.upf
Pt 195.08 Pt.upf
P 30.97 P.upf
CELL_PARAMETERS angstrom
4.374 0.000 0.000
0.000 8.678 -5.010
0.000 0.000 10.020
ATOMIC_POSITIONS crystal
K 0.500 0.333 0.667
K 0.500 0.000 0.730
K 0.500 0.730 0.000
K 0.500 0.667 0.333
K 0.500 0.270 0.270
Pt 0.000 0.638 0.638
Pt 0.000 0.000 0.362
Pt 0.000 0.362 0.000
P 0.500 0.637 0.637
P 0.500 0.000 0.363
P 0.500 0.363 0.000
! formation energy from the elements	-0.46	eV per atom
! space group	P-62m (189)

3.
! Sc9Al3O2 (PBE, relaxed); values from VASP
&SYSTEM
  ibrav = 0, nat = 14, ntyp = 3
/
ATOMIC_SPECIES
Sc 44.96 Sc.upf
O 16.00 O.upf
Al 26.98 Al.upf
CELL_PARAMETERS angstrom
-0.281 1.014 6.152
5.216 -2.290 -2.550
2.609 7.118 -1.055
ATOMIC_POSITIONS crystal
Sc 0.665 0.833 0.667
Sc 0.500 0.500 0.000
Sc 0.335 0.167 0.333
Sc 0.500 0.000 0.000
Sc 0.833 0.167 0.333
Sc 0.000 0.500 0.000
Sc 0.167 0.833 0.667
Sc 0.833 0.665 0.333
Sc 0.167 0.335 0.667
O 0.667 0.333 0.162
O 0.333 0.667 0.838
Al 0.333 0.667 0.334
Al 0.667 0.333 0.666
Al 0.000 0.000 0.000
! ΔE_f (raw)	-1490	kJ/mol of formula units
! space group	P-3m1 (164)

4.
! YSb2Os (PBE, relaxed); values from VASP
&SYSTEM
  ibrav = 0, nat = 4, ntyp = 3
/
ATOMIC_SPECIES
Os 190.23 Os.upf
Sb 121.76 Sb.upf
Y 88.91 Y.upf
CELL_PARAMETERS angstrom
-1.918 -0.613 -2.670
-1.528 -2.467 1.664
-5.222 4.990 2.605
ATOMIC_POSITIONS crystal
Os 0.500 0.500 0.750
Sb 0.000 0.000 0.538
Sb 0.000 0.000 0.962
Y 0.500 0.500 0.250
! ΔE_f (raw)	3	kJ/mol of formula units
! space group	P4/mmm (123)
! excess energy over the best structure of this formula in the dataset	315	meV per atom

5.
! Ti8In2Ga (PBE, relaxed); values from VASP
&SYSTEM
  ibrav = 0, nat = 11, ntyp = 3
/
ATOMIC_SPECIES
Ti 47.87 Ti.upf
Ga 69.72 Ga.upf
In 114.82 In.upf
CELL_PARAMETERS angstrom
-4.051 3.648 -2.868
-7.677 -1.870 -1.761
-7.556 1.571 2.444
ATOMIC_POSITIONS crystal
Ti 0.186 0.761 0.761
Ti 0.756 0.601 0.601
Ti 0.776 0.188 0.665
Ti 0.776 0.665 0.188
Ti 0.814 0.239 0.239
Ti 0.244 0.399 0.399
Ti 0.224 0.812 0.335
Ti 0.224 0.335 0.812
Ga 0.000 0.000 0.000
In 0.596 0.819 0.819
In 0.404 0.181 0.181
! formation energy from the elements	0.04	eV per atom
! space group	C2/m (12)

6.
! ErPdAu (PBE, relaxed); values from VASP
&SYSTEM
  ibrav = 0, nat = 6, ntyp = 3
/
ATOMIC_SPECIES
Pd 106.42 Pd.upf
Au 196.97 Au.upf
Er 167.26 Er.upf
CELL_PARAMETERS angstrom
4.865 -0.523 0.000
-1.906 4.506 0.000
0.000 0.000 5.680
ATOMIC_POSITIONS crystal
Pd 0.325 0.675 0.750
Pd 0.675 0.325 0.250
Au 0.000 0.000 0.000
Au 0.000 0.000 0.500
Er 0.663 0.337 0.750
Er 0.337 0.663 0.250
! formation energy from the elements	-0.83	eV per atom
! space group	Cmcm (63)
! excess energy over the best structure of this formula in the dataset	42	meV per atom

7.
! ZnCu3Au5 (PBE, relaxed); values from VASP
&SYSTEM
  ibrav = 0, nat = 18, ntyp = 3
/
ATOMIC_SPECIES
Au 196.97 Au.upf
Cu 63.55 Cu.upf
Zn 65.41 Zn.upf
CELL_PARAMETERS angstrom
-5.695 -0.850 -0.394
0.126 -5.769 -0.088
-1.342 -0.986 9.685
ATOMIC_POSITIONS crystal
Au 0.019 0.603 0.659
Au 0.321 0.679 0.000
Au 0.603 0.019 0.659
Au 0.679 0.321 0.000
Au 0.981 0.397 0.341
Au 0.397 0.981 0.341
Au 0.466 0.466 0.327
Au 0.534 0.534 0.673
Au 0.273 0.273 0.860
Au 0.727 0.727 0.140
Cu 0.000 0.000 0.500
Cu 0.251 0.251 0.125
Cu 0.749 0.749 0.875
Cu 0.270 0.270 0.546
Cu 0.000 0.000 0.000
Cu 0.730 0.730 0.454
Zn 0.029 0.029 0.745
Zn 0.971 0.971 0.255
! formation energy from the elements	0.13	eV per atom
! space group	C2/m (12)

8.
! Tl2MoBr (PBE, relaxed); values from VASP
&SYSTEM
  ibrav = 0, nat = 4, ntyp = 3
/
ATOMIC_SPECIES
Tl 204.38 Tl.upf
Br 79.90 Br.upf
Mo 95.94 Mo.upf
CELL_PARAMETERS angstrom
10.771 -0.001 -0.001
10.260 3.278 -0.001
10.260 1.599 2.862
ATOMIC_POSITIONS crystal
Tl 0.258 0.258 0.258
Tl 0.013 0.013 0.013
Br 0.474 0.474 0.474
Mo 0.754 0.754 0.754
! ΔE_f (raw)	104	kJ/mol of formula units
! space group	R3m (160)
! excess energy over the best structure of this formula in the dataset	0	meV per atom